1.
Material: Re5Ir
Method: DFT, meta-GGA SCAN
State: single point on PBEsol structure

Computed properties:
energy relative to the lowest polymorph listed for this composition = 0.00 eV/f.u.
SG = No. 189
total magnetic moment = 0.0 μB per cell
formation enthalpy at 0 K = -0.157 eV per atom
crystal system = hexagonal

Cell: 4.781 4.781 4.384 Å, 90.00 90.00 120.00°
Fractional coordinates of all 6 atoms:
Re: 0.000 0.333 0.000
Re: 0.333 0.000 0.000
Re: 0.333 0.667 0.500
Re: 0.667 0.333 0.500
Re: 0.667 0.667 0.000
Ir: 0.000 0.000 0.500

2.
Material: AlCdTcPd2
Method: DFT, meta-GGA SCAN
State: single point on PBEsol structure

Computed properties:
SG = No. 123
total magnetic moment = 2.8 μB per cell
formation enthalpy at 0 K = 1.417 eV per atom
crystal system = tetragonal

Cell: 4.789 4.789 4.875 Å, 90.00 90.00 90.00°
Fractional coordinates of all 5 atoms:
Al: 0.000 0.000 0.000
Cd: 0.500 0.500 0.500
Tc: 0.500 0.500 0.000
Pd: 0.000 0.500 0.500
Pd: 0.500 0.000 0.500

3.
Material: BeZnIn2
Method: DFT, meta-GGA SCAN
State: single point on PBEsol structure

Computed properties:
SG = No. 123
total magnetic moment = 0.0 μB per cell
formation enthalpy at 0 K = 0.352 eV per atom
crystal system = tetragonal

Cell: 2.994 2.994 8.066 Å, 90.00 90.00 90.00°
Fractional coordinates of all 4 atoms:
Be: 0.000 0.000 0.000
Zn: 0.000 0.000 0.500
In: 0.500 0.500 0.226
In: 0.500 0.500 0.774

4.
Material: YSiSe2
Method: DFT, meta-GGA SCAN
State: single point on PBEsol structure

Computed properties:
energy relative to the lowest polymorph listed for this composition = 0.94 eV/f.u.
SG = No. 71
total magnetic moment = 0.0 μB per cell
formation energy from raw total energies = -0.821 eV/atom
crystal system = orthorhombic

Cell: 5.225 5.225 5.225 Å, 137.98 121.17 74.90°
Fractional coordinates of all 4 atoms:
Y: 0.000 0.000 0.000
Si: 0.500 0.500 0.000
Se: 0.295 0.795 0.500
Se: 0.705 0.205 0.500

5.
Material: ZnCo2W
Method: DFT, meta-GGA SCAN
State: single point on PBEsol structure

Computed properties:
SG = No. 123
total magnetic moment = 2.1 μB per cell
formation enthalpy at 0 K = 0.147 eV per atom
crystal system = tetragonal

Cell: 4.220 4.220 2.741 Å, 90.00 90.00 90.00°
Fractional coordinates of all 4 atoms:
Zn: 0.000 0.000 0.000
Co: 0.000 0.500 0.500
Co: 0.500 0.000 0.500
W: 0.500 0.500 0.000

6.
Material: LuSiPt2
Method: DFT, meta-GGA SCAN
State: single point on PBEsol structure

Computed properties:
SG = No. 62
total magnetic moment = 0.0 μB per cell
formation energy from raw total energies = -1.376 eV/atom
crystal system = orthorhombic

Cell: 7.106 6.904 5.372 Å, 90.00 90.00 90.00°
Fractional coordinates of all 16 atoms:
Lu: 0.025 0.250 0.134
Lu: 0.475 0.750 0.634
Lu: 0.525 0.250 0.366
Lu: 0.975 0.750 0.866
Si: 0.117 0.750 0.366
Si: 0.383 0.250 0.866
Si: 0.617 0.750 0.134
Si: 0.883 0.250 0.634
Pt: 0.184 0.050 0.591
Pt: 0.184 0.450 0.591
Pt: 0.316 0.550 0.091
Pt: 0.316 0.950 0.091
Pt: 0.684 0.050 0.909
Pt: 0.684 0.450 0.909
Pt: 0.816 0.550 0.409
Pt: 0.816 0.950 0.409

7.
Material: LaHgSb
Method: DFT, meta-GGA SCAN
State: single point on PBEsol structure

Computed properties:
energy relative to the lowest polymorph listed for this composition = 0.63 eV/f.u.
SG = No. 216
total magnetic moment = 0.0 μB per cell
formation energy from raw total energies = -0.723 eV/atom
crystal system = cubic

Cell: 5.207 5.207 5.207 Å, 60.00 60.00 60.00°
Fractional coordinates of all 3 atoms:
La: 0.000 0.000 0.000
Hg: 0.250 0.250 0.250
Sb: 0.750 0.750 0.750

8.
Material: Rb3BaIr
Method: DFT, meta-GGA SCAN
State: single point on PBEsol structure

Computed properties:
SG = No. 221
total magnetic moment = 0.1 μB per cell
formation enthalpy at 0 K = 0.821 eV per atom
crystal system = cubic

Cell: 6.402 6.402 6.402 Å, 90.00 90.00 90.00°
Fractional coordinates of all 5 atoms:
Rb: 0.000 0.000 0.500
Rb: 0.000 0.500 0.000
Rb: 0.500 0.000 0.000
Ba: 0.500 0.500 0.500
Ir: 0.000 0.000 0.000